The following is a PBE-GGA calculation of a geometry-optimized BC structure, from the Alexandria database.

abc: 4.503 4.503 8.562
angles: 118.36 118.36 31.73
Positions (direct):
1 B 0.663 0.663 0.816
2 B 0.350 0.350 0.190
3 B 0.337 0.337 0.667
4 B 0.134 0.134 0.192
5 B 0.864 0.864 0.044
6 B 0.649 0.649 0.353
7 C 0.165 0.165 0.692
8 C 0.516 0.516 0.880
9 C 0.834 0.834 0.539
10 C 0.993 0.993 0.506
11 C 0.486 0.486 0.399
12 C 0.008 0.008 0.973

Properties
**V**: 13.23 Å³/f.u.
**DFT formation energy**: 74 kJ/mol of formula units
**Energy above the lowest structure with this stoichiometry**: 0.234 eV/atom
**Total magnetic moment**: 0.00 μB/f.u.



The following is a PBE-GGA calculation of a geometry-optimized BC structure, from the Alexandria database.

abc: 2.456 4.088 5.362
angles: 90.00 90.00 90.00
Positions (direct):
1 C 0.500 0.480 0.732
2 C 0.500 0.770 0.518
3 C 0.000 0.980 0.518
4 C 0.000 0.270 0.732
5 B 0.500 0.716 0.979
6 B 0.500 0.534 0.271
7 B 0.000 0.034 0.979
8 B 0.000 0.216 0.271

Properties
**V**: 13.46 Å³/f.u.
**DFT formation energy**: 100 kJ/mol of formula units
**Energy above the lowest structure with this stoichiometry**: 0.365 eV/atom
**Total magnetic moment**: 0.00 μB/f.u.



The following is a PBE-GGA calculation of a geometry-optimized B7C5 structure, from the Alexandria database.

abc: 7.710 7.646 7.646
angles: 160.61 147.18 38.36
Positions (direct):
1 B 0.492 0.174 0.318
2 B 0.496 0.853 0.643
3 B 0.060 0.110 0.950
4 B 0.087 0.774 0.313
5 B 0.635 0.608 0.026
6 B 0.051 0.354 0.697
7 B 0.643 0.287 0.356
8 C 0.994 0.998 0.996
9 C 0.503 0.500 0.003
10 C 0.134 0.464 0.669
11 C 0.031 0.667 0.365
12 C 0.625 0.961 0.664

Properties
**V**: 81.02 Å³/f.u.
**DFT formation energy**: 521 kJ/mol of formula units
**Energy above the lowest structure with this stoichiometry**: 0.285 eV/atom
**Total magnetic moment**: 0.00 μB/f.u.



The following is a PBE-GGA calculation of a geometry-optimized B7C5 structure, from the Alexandria database.

abc: 5.992 5.992 5.459
angles: 101.89 101.89 25.93
Positions (direct):
1 B 0.277 0.277 0.369
2 B 0.899 0.899 0.226
3 B 0.326 0.326 0.687
4 B 0.035 0.035 0.112
5 B 0.872 0.872 0.547
6 B 0.020 0.020 0.482
7 B 0.658 0.658 0.351
8 C 0.244 0.244 0.876
9 C 0.327 0.327 0.127
10 C 0.588 0.588 0.576
11 C 0.664 0.664 0.846
12 C 0.590 0.590 0.051

Properties
**V**: 83.78 Å³/f.u.
**DFT formation energy**: 382 kJ/mol of formula units
**Energy above the lowest structure with this stoichiometry**: 0.166 eV/atom
**Total magnetic moment**: 0.00 μB/f.u.



The following is a PBE-GGA calculation of a geometry-optimized B3C structure, from the Alexandria database.

abc: 3.463 4.598 5.559
angles: 109.75 83.39 84.67
Positions (direct):
1 B 0.459 0.108 0.784
2 B 0.866 0.479 0.362
3 B 0.349 0.512 0.882
4 B 0.538 0.308 0.553
5 B 0.718 0.678 0.697
6 B 0.575 0.322 0.092
7 B 0.961 0.017 0.869
8 B 0.650 0.711 0.183
9 B 0.887 0.913 0.495
10 C 0.272 0.262 0.301
11 C 0.945 0.719 0.944
12 C 0.279 0.971 0.337

Properties
**V**: 27.31 Å³/f.u.
**DFT formation energy**: 140 kJ/mol of formula units
**Energy above the lowest structure with this stoichiometry**: 0.121 eV/atom
**Total magnetic moment**: 0.00 μB/f.u.



The following is a PBE-GGA calculation of a geometry-optimized B7C5 structure, from the Alexandria database.

abc: 6.330 6.330 5.675
angles: 105.32 105.32 24.61
Positions (direct):
1 B 0.249 0.249 0.501
2 B 0.061 0.061 0.113
3 B 0.714 0.714 0.314
4 B 0.405 0.405 0.071
5 B 0.845 0.845 0.559
6 B 0.332 0.332 0.777
7 B 0.522 0.522 0.599
8 C 0.945 0.945 0.200
9 C 0.201 0.201 0.762
10 C 0.965 0.965 0.489
11 C 0.643 0.643 0.802
12 C 0.618 0.618 0.063

Properties
**V**: 91.14 Å³/f.u.
**DFT formation energy**: 412 kJ/mol of formula units
**Energy above the lowest structure with this stoichiometry**: 0.191 eV/atom
**Total magnetic moment**: 0.00 μB/f.u.



The following is a PBE-GGA calculation of a geometry-optimized B7C5 structure, from the Alexandria database.

abc: 4.847 4.814 4.616
angles: 109.97 97.53 116.98
Positions (direct):
1 B 0.024 0.711 0.021
2 B 0.365 0.661 0.047
3 B 0.005 0.669 0.390
4 B 0.532 0.503 0.521
5 B 0.825 0.149 0.191
6 B 0.136 0.518 0.635
7 B 0.659 0.344 0.024
8 C 0.858 0.879 0.616
9 C 0.671 0.319 0.687
10 C 0.784 0.094 0.498
11 C 0.364 0.368 0.138
12 C 0.026 0.035 0.982

Properties
**V**: 84.79 Å³/f.u.
**DFT formation energy**: 503 kJ/mol of formula units
**Energy above the lowest structure with this stoichiometry**: 0.270 eV/atom
**Total magnetic moment**: 0.00 μB/f.u.



The following is a PBE-GGA calculation of a geometry-optimized B3C structure, from the Alexandria database.

abc: 5.644 5.644 3.317
angles: 90.00 90.00 129.48
Positions (direct):
1 C 0.000 0.000 0.500
2 C 0.185 0.815 0.000
3 C 0.815 0.185 0.000
4 B 0.000 0.500 0.748
5 B 0.705 0.882 0.748
6 B 0.356 0.644 0.500
7 B 0.882 0.705 0.252
8 B 0.295 0.118 0.748
9 B 0.644 0.356 0.500
10 B 0.118 0.295 0.252
11 B 0.500 0.000 0.252
12 B 0.500 0.500 0.000

Properties
**V**: 27.19 Å³/f.u.
**DFT formation energy**: 166 kJ/mol of formula units
**Energy above the lowest structure with this stoichiometry**: 0.188 eV/atom
**Total magnetic moment**: 0.00 μB/f.u.



The following is a PBE-GGA calculation of a geometry-optimized B7C5 structure, from the Alexandria database.

abc: 4.469 4.469 8.790
angles: 116.20 116.20 33.27
Positions (direct):
1 B 0.270 0.270 0.122
2 B 0.987 0.987 0.518
3 B 0.837 0.837 0.022
4 B 0.038 0.038 0.036
5 B 0.612 0.612 0.948
6 B 0.496 0.496 0.372
7 B 0.271 0.271 0.605
8 C 0.673 0.673 0.807
9 C 0.807 0.807 0.528
10 C 0.175 0.175 0.244
11 C 0.173 0.173 0.718
12 C 0.660 0.660 0.330

Properties
**V**: 85.46 Å³/f.u.
**DFT formation energy**: 439 kJ/mol of formula units
**Energy above the lowest structure with this stoichiometry**: 0.214 eV/atom
**Total magnetic moment**: 0.00 μB/f.u.



The following is a PBE-GGA calculation of a geometry-optimized BC structure, from the Alexandria database.

abc: 2.647 4.409 7.624
angles: 79.22 90.00 90.00
Positions (direct):
1 C 0.000 0.294 0.171
2 C 0.500 0.527 0.525
3 C 0.000 0.969 0.661
4 C 0.500 0.781 0.672
5 C 0.000 0.223 0.808
6 C 0.500 0.456 0.163
7 B 0.000 0.941 0.231
8 B 0.500 0.429 0.765
9 B 0.000 0.321 0.569
10 B 0.000 0.051 0.007
11 B 0.500 0.809 0.103
12 B 0.500 0.699 0.326

Properties
**V**: 14.57 Å³/f.u.
**DFT formation energy**: 70 kJ/mol of formula units
**Energy above the lowest structure with this stoichiometry**: 0.210 eV/atom
**Total magnetic moment**: 0.00 μB/f.u.



The following is a PBE-GGA calculation of a geometry-optimized B7C5 structure, from the Alexandria database.

abc: 2.625 2.625 14.024
angles: 90.00 90.00 120.00
Positions (direct):
1 B 0.000 0.000 0.339
2 B 0.667 0.333 0.735
3 B 0.333 0.667 0.537
4 B 0.000 0.000 0.468
5 B 0.333 0.667 0.657
6 B 0.667 0.333 0.856
7 B 0.667 0.333 0.197
8 C 0.667 0.333 0.331
9 C 0.000 0.000 0.012
10 C 0.000 0.000 0.906
11 C 0.333 0.667 0.161
12 C 0.333 0.667 0.052

Properties
**V**: 83.68 Å³/f.u.
**DFT formation energy**: 624 kJ/mol of formula units
**Energy above the lowest structure with this stoichiometry**: 0.375 eV/atom
**Total magnetic moment**: 0.00 μB/f.u.



The following is a PBE-GGA calculation of a geometry-optimized B7C5 structure, from the Alexandria database.

abc: 2.590 3.810 8.355
angles: 83.90 90.00 90.00
Positions (direct):
1 B 0.000 0.010 0.273
2 B 0.500 0.568 0.503
3 B 0.000 0.972 0.002
4 B 0.500 0.550 0.210
5 B 0.000 0.343 0.118
6 B 0.500 0.613 0.998
7 B 0.000 0.268 0.544
8 C 0.000 0.968 0.682
9 C 0.500 0.738 0.682
10 C 0.500 0.443 0.826
11 C 0.500 0.820 0.335
12 C 0.000 0.207 0.827

Properties
**V**: 81.98 Å³/f.u.
**DFT formation energy**: 518 kJ/mol of formula units
**Energy above the lowest structure with this stoichiometry**: 0.283 eV/atom
**Total magnetic moment**: 0.00 μB/f.u.



The following is a PBE-GGA calculation of a geometry-optimized BC structure, from the Alexandria database.

abc: 6.249 7.396 7.396
angles: 159.32 140.06 46.33
Positions (direct):
1 C 0.102 0.457 0.644
2 C 0.492 0.503 0.989
3 C 0.006 0.995 0.011
4 C 0.407 0.813 0.594
5 C 0.692 0.629 0.064
6 C 0.933 0.326 0.607
7 B 0.601 0.955 0.646
8 B 0.080 0.813 0.267
9 B 0.091 0.681 0.410
10 B 0.631 0.176 0.454
11 B 0.203 0.125 0.077
12 B 0.512 0.276 0.236

Properties
**V**: 12.82 Å³/f.u.
**DFT formation energy**: 60 kJ/mol of formula units
**Energy above the lowest structure with this stoichiometry**: 0.161 eV/atom
**Total magnetic moment**: 0.00 μB/f.u.



The following is a PBE-GGA calculation of a geometry-optimized BC structure, from the Alexandria database.

abc: 7.218 7.302 7.302
angles: 159.32 143.50 42.38
Positions (direct):
1 B 0.141 0.147 0.994
2 B 0.003 0.349 0.654
3 B 0.531 0.851 0.680
4 B 0.594 0.274 0.320
5 B 0.984 0.978 0.006
6 B 0.122 0.776 0.346
7 C 0.627 0.968 0.659
8 C 0.507 0.504 0.003
9 C 0.147 0.464 0.683
10 C 0.978 0.661 0.317
11 C 0.498 0.157 0.341
12 C 0.618 0.621 0.997

Properties
**V**: 13.45 Å³/f.u.
**DFT formation energy**: 57 kJ/mol of formula units
**Energy above the lowest structure with this stoichiometry**: 0.145 eV/atom
**Total magnetic moment**: 0.00 μB/f.u.



The following is a PBE-GGA calculation of a geometry-optimized B7C5 structure, from the Alexandria database.

abc: 4.744 4.744 5.491
angles: 109.69 109.69 45.83
Positions (direct):
1 B 0.663 0.674 0.296
2 B 0.296 0.724 0.712
3 B 0.326 0.337 0.704
4 B 0.841 0.434 0.569
5 B 0.996 0.004 0.000
6 B 0.276 0.704 0.288
7 B 0.566 0.159 0.431
8 C 0.584 0.069 0.933
9 C 0.691 0.667 0.847
10 C 0.333 0.309 0.153
11 C 0.931 0.416 0.067
12 C 0.997 0.003 0.500

Properties
**V**: 82.49 Å³/f.u.
**DFT formation energy**: 440 kJ/mol of formula units
**Energy above the lowest structure with this stoichiometry**: 0.215 eV/atom
**Total magnetic moment**: 0.00 μB/f.u.



The following is a PBE-GGA calculation of a geometry-optimized BC structure, from the Alexandria database.

abc: 4.586 4.586 2.673
angles: 90.00 90.00 106.21
Positions (direct):
1 C 0.869 0.113 0.500
2 C 0.898 0.643 0.000
3 C 0.988 0.994 0.000
4 C 0.518 0.023 0.500
5 B 0.375 0.666 0.500
6 B 0.541 0.500 0.000
7 B 0.959 0.478 0.500
8 B 0.353 0.084 0.000

Properties
**V**: 13.50 Å³/f.u.
**DFT formation energy**: 85 kJ/mol of formula units
**Energy above the lowest structure with this stoichiometry**: 0.292 eV/atom
**Total magnetic moment**: 0.00 μB/f.u.



The following is a PBE-GGA calculation of a geometry-optimized B7C5 structure, from the Alexandria database.

abc: 4.232 4.232 8.808
angles: 117.06 117.06 37.34
Positions (direct):
1 B 0.634 0.634 0.294
2 B 0.266 0.266 0.595
3 B 0.359 0.359 0.190
4 B 0.693 0.693 0.807
5 B 0.506 0.506 0.418
6 B 0.834 0.834 0.035
7 B 0.584 0.584 0.962
8 C 0.169 0.169 0.214
9 C 0.795 0.795 0.519
10 C 0.989 0.989 0.511
11 C 0.161 0.161 0.710
12 C 0.011 0.011 0.996

Properties
**V**: 83.91 Å³/f.u.
**DFT formation energy**: 454 kJ/mol of formula units
**Energy above the lowest structure with this stoichiometry**: 0.227 eV/atom
**Total magnetic moment**: 0.00 μB/f.u.



The following is a PBE-GGA calculation of a geometry-optimized B7C5 structure, from the Alexandria database.

abc: 6.096 6.107 3.751
angles: 86.51 94.17 142.02
Positions (direct):
1 B 0.956 0.466 0.785
2 B 0.378 0.727 0.961
3 B 0.357 0.233 0.802
4 B 0.747 0.104 0.536
5 B 0.190 0.786 0.478
6 B 0.212 0.348 0.194
7 B 0.813 0.657 0.254
8 C 0.502 0.011 0.229
9 C 0.509 0.521 0.499
10 C 0.659 0.324 0.014
11 C 0.681 0.829 0.750
12 C 0.995 0.995 0.998

Properties
**V**: 85.70 Å³/f.u.
**DFT formation energy**: 451 kJ/mol of formula units
**Energy above the lowest structure with this stoichiometry**: 0.225 eV/atom
**Total magnetic moment**: 0.00 μB/f.u.



The following is a PBE-GGA calculation of a geometry-optimized BC structure, from the Alexandria database.

abc: 6.787 6.805 6.805
angles: 157.97 145.21 41.58
Positions (direct):
1 C 0.571 0.299 0.272
2 C 0.127 0.888 0.239
3 C 0.233 0.205 0.028
4 C 0.785 0.800 0.985
5 C 0.347 0.109 0.238
6 B 0.054 0.998 0.056
7 B 0.363 0.403 0.960
8 B 0.973 0.703 0.270
9 B 0.530 0.588 0.942
10 B 0.767 0.507 0.260

Properties
**V**: 13.43 Å³/f.u.
**DFT formation energy**: 82 kJ/mol of formula units
**Energy above the lowest structure with this stoichiometry**: 0.273 eV/atom
**Total magnetic moment**: 0.00 μB/f.u.



The following is a PBE-GGA calculation of a geometry-optimized BC structure, from the Alexandria database.

abc: 4.334 4.334 8.643
angles: 121.43 121.43 35.00
Positions (direct):
1 B 0.632 0.632 0.342
2 B 0.008 0.008 0.959
3 B 0.693 0.693 0.834
4 B 0.448 0.448 0.395
5 B 0.156 0.156 0.207
6 B 0.369 0.369 0.160
7 C 0.517 0.517 0.859
8 C 0.890 0.890 0.063
9 C 0.814 0.814 0.554
10 C 0.169 0.169 0.696
11 C 0.975 0.975 0.518
12 C 0.329 0.329 0.664

Properties
**V**: 12.99 Å³/f.u.
**DFT formation energy**: 62 kJ/mol of formula units
**Energy above the lowest structure with this stoichiometry**: 0.171 eV/atom
**Total magnetic moment**: 0.00 μB/f.u.